Entry 1:
AgIO3 PBE-GGA optimized geometry; total DFT energy (no corrections) = -4.12 eV per atom; space group = No. 61
1.0
5.723 0.000 0.000
0.000 6.017 0.000
0.000 0.000 17.069
Ag I O
8 8 24
Cartesian
0.120 1.261 0.655
0.120 1.748 9.189
2.741 4.269 0.655
2.741 4.756 9.189
2.982 1.261 7.879
2.982 1.748 16.414
5.603 4.269 7.879
5.603 4.756 16.414
0.028 1.092 5.679
0.028 1.916 14.214
2.833 4.101 5.679
2.833 4.925 14.214
2.890 1.092 2.855
2.890 1.916 11.389
5.695 4.101 2.855
5.695 4.925 11.389
0.771 0.553 7.296
0.771 2.455 15.830
0.926 3.527 10.601
0.926 5.498 2.066
1.427 0.970 13.468
1.427 2.038 4.933
1.434 3.979 13.468
1.434 5.047 4.933
1.936 0.519 10.601
1.936 2.490 2.066
2.091 3.562 7.296
2.091 5.464 15.830
3.632 0.553 1.238
3.632 2.455 9.773
3.788 3.527 15.002
3.788 5.498 6.468
4.289 0.970 12.135
4.289 2.038 3.601
4.296 3.979 12.135
4.296 5.047 3.601
4.797 0.519 15.002
4.797 2.490 6.468
4.953 3.562 1.238
4.953 5.464 9.773

***

Entry 2:
TbErB2Pd2N2 PBE-GGA optimized geometry; total DFT energy (no corrections) = -7.24 eV per atom; space group = No. 99; total moment = 0.00 μB/cell
1.0
3.693 0.000 0.000
0.000 3.693 0.000
0.000 0.000 7.614
Tb Er B Pd N
1 1 2 2 2
Cartesian
0.000 0.000 0.000
1.846 1.846 5.144
0.000 0.000 3.891
1.846 1.846 1.234
0.000 1.846 2.576
1.846 0.000 2.576
0.000 0.000 5.320
1.846 1.846 7.413

***

Entry 3:
ZrPt3 PBE-GGA optimized geometry; total DFT energy (no corrections) = -7.71 eV per atom; space group = No. 194; ΔE_f = -1.0283 eV/atom; total moment = 0.00 μB/cell
1.0
5.703 0.000 0.000
-2.852 4.939 0.000
0.000 0.000 9.319
Zr Pt
4 12
Cartesian
0.000 0.000 0.000
0.000 0.000 4.659
0.000 3.293 2.330
2.852 1.646 6.989
-1.426 2.470 0.000
-1.426 2.470 4.659
0.000 1.680 6.989
-1.396 4.099 6.989
1.455 0.840 2.330
2.852 0.000 0.000
2.852 0.000 4.659
1.426 2.470 0.000
1.426 2.470 4.659
1.396 4.099 6.989
4.248 0.840 2.330
2.852 3.259 2.330